Material: DyGa2Pd
Method: DFT, SCAN
State: single point on PBEsol structure

The structure belongs to space group Cmcm (No. 63); the cell edges are 4.375, 9.995 and 6.492 Å and the angles 90.00°, 90.00° and 90.00°. The asymmetric unit holds Dy at (0.000, 0.089, 0.250), Ga at (0.000, 0.373, 0.053) and Pd at (0.000, 0.201, 0.750).

The calculation puts the formation energy at -915 meV/atom. The final energy is -467.69 eV/cell. As for the density: 9.55 Mg/m³. As for the density of states at the Fermi level: 6.50 states/eV per cell. As for the magnetization: 0.0 μB/cell.